# PBE Si2SeS2, relaxed
# Raw formation energy = 0.382 eV/atom
# Spin magnetization = 0.0000 μB/atom
# Space group = No. 127
# Energy relative to the lowest polymorph listed for this composition = 134 meV/atom
# Calculated total energy = -4.14 eV/atom
data_Si2SeS2
_symmetry_space_group_name_H-M 'P 1'
_symmetry_Int_Tables_number 1
_symmetry_space_group_name_Hall 'P 1'
_cell_length_a 8.419
_cell_length_b 8.419
_cell_length_c 3.174
_cell_angle_alpha 90.00
_cell_angle_beta 90.00
_cell_angle_gamma 90.00
loop_
_atom_site_label
_atom_site_type_symbol
_atom_site_fract_x
_atom_site_fract_y
_atom_site_fract_z
Se1 Se 0.500 0.500 0.000
Se2 Se 0.000 0.000 0.000
S1 S 0.349 0.849 0.000
S2 S 0.651 0.151 0.000
S3 S 0.151 0.349 0.000
S4 S 0.849 0.651 0.000
Si1 Si 0.781 0.281 0.500
Si2 Si 0.719 0.781 0.500
Si3 Si 0.281 0.219 0.500
Si4 Si 0.219 0.719 0.500